DFT (GGA-PBE) results for an optimized crystal structure of K2CdCoI.

Structure (POSCAR):
```
K2CdCoI
1.0
6.3868 0.0000 0.0000
0.0000 6.3868 0.0000
0.0000 0.0000 4.7267
K Cd Co I
2 1 1 1
direct
0.0000 0.5000 0.0000 K
0.5000 0.0000 0.0000 K
0.0000 0.0000 0.5000 Cd
0.5000 0.5000 0.0000 Co
0.5000 0.5000 0.5000 I
```

- Excess energy over the best structure of this formula in the dataset: 0.149 eV/atom
- Symmetry: P4/mmm
- VASP energy: -0.1595 Ry/atom
- Formation energy (no corrections): 0.183 eV per atom
- Mass density: 3.2 g cm⁻³

***

DFT (GGA-PBE) results for an optimized crystal structure of BaScCu.

Structure (POSCAR):
```
BaScCu
1.0
3.6000 0.0000 0.0000
0.0000 3.6000 0.0000
0.0000 0.0000 13.0068
Ba Sc Cu
2 2 2
direct
0.0000 0.0000 0.0000 Ba
0.5000 0.5000 0.5000 Ba
0.0000 0.0000 0.2646 Sc
0.5000 0.5000 0.7646 Sc
0.0000 0.0000 0.6836 Cu
0.5000 0.5000 0.1836 Cu
```

- Excess energy over the best structure of this formula in the dataset: 0.000 eV/atom
- Symmetry: I4mm
- VASP energy: -0.2959 Ry/atom
- Mass density: 4.8 g cm⁻³
- ΔE_f: 0.09 eV/atom

***

DFT (GGA-PBE) results for an optimized crystal structure of Ba2NpBr6.

Structure (POSCAR):
```
Ba2NpBr6
1.0
7.4064 0.0000 0.0000
0.0000 7.4064 0.0000
0.0000 0.0000 14.4773
Ba Np Br
4 2 12
direct
0.0000 0.0000 0.1672 Ba
0.0000 0.0000 0.8328 Ba
0.5000 0.5000 0.3328 Ba
0.5000 0.5000 0.6672 Ba
0.0000 0.0000 0.5000 Np
0.5000 0.5000 0.0000 Np
0.1910 0.1910 0.3444 Br
0.1910 0.1910 0.6556 Br
0.2102 0.2102 0.0000 Br
0.2898 0.7102 0.5000 Br
0.3090 0.6910 0.1556 Br
0.3090 0.6910 0.8444 Br
0.6910 0.3090 0.1556 Br
0.6910 0.3090 0.8444 Br
0.7102 0.2898 0.5000 Br
0.7898 0.7898 0.0000 Br
0.8090 0.8090 0.3444 Br
0.8090 0.8090 0.6556 Br
```

- Symmetry: P4_2/mnm
- VASP energy: -0.3448 Ry/atom
- Formation energy (no corrections): -1.710 eV per atom
- Mass density: 4.1 g cm⁻³

***

DFT (GGA-PBE) results for an optimized crystal structure of DyHoTh2.

Structure (POSCAR):
```
DyHoTh2
1.0
3.5681 0.0000 0.0000
-1.7840 3.0900 0.0000
0.0000 0.0000 34.4157
Dy Ho Th
3 3 6
direct
0.0000 0.0000 0.0000 Dy
0.3333 0.6667 0.6667 Dy
0.6667 0.3333 0.3333 Dy
0.0000 0.0000 0.5000 Ho
0.3333 0.6667 0.1667 Ho
0.6667 0.3333 0.8333 Ho
0.0000 0.0000 0.2499 Th
0.0000 0.0000 0.7501 Th
0.3333 0.6667 0.4168 Th
0.3333 0.6667 0.9166 Th
0.6667 0.3333 0.0834 Th
0.6667 0.3333 0.5832 Th
```

- Excess energy over the best structure of this formula in the dataset: 0.001 eV/atom
- Symmetry: R-3m
- VASP energy: -0.4390 Ry/atom
- Mass density: 10.4 g cm⁻³
- ΔE_f: 0.03 eV/atom

***

Question: Which formula does entry 4 have?
Answer: DyHoTh2